4
Lattice="5.015 0.000 0.000 0.000 5.015 0.000 0.000 0.000 5.015" Properties=species:S:1:pos:R:3 comment="Ca3Ta (GGA-PBE, relaxed)" delta_e_f_mev_per_atom=745 total_magnetization_mub_per_fu=2.9 e_tot_ev_per_atom=-3.720 e_above_lowest_polymorph_ev_per_atom=0.188 pbc="T T T"
Ca 2.507 2.507 0.000
Ca 2.507 0.000 2.507
Ca 0.000 2.507 2.507
Ta 0.000 0.000 0.000

***

4
Lattice="-1.081 -6.417 -3.800 2.125 -4.463 -5.687 2.782 -6.660 -2.166" Properties=species:S:1:pos:R:3 comment="Y2AgAs (GGA-PBE, relaxed)" delta_e_f_mev_per_atom=-344 total_magnetization_mub_per_fu=1.4 e_tot_ev_per_atom=-5.451 pbc="T T T"
Y 0.862 -3.953 -2.626
Ag 1.825 -8.365 -5.558
As 2.946 -13.503 -8.971
Y 0.107 -0.488 -0.324